(1)
{
  "formula": "TaFeRe2",
  "functional": "GGA-PBEsol",
  "state": "optimized geometry",
  "cell": [[0.000, 3.071, 3.071], [3.071, 0.000, 3.071], [3.071, 3.071, 0.000]],
  "species": ["Ta", "Fe", "Re", "Re"],
  "frac_coords": [[0.000, 0.000, 0.000], [0.250, 0.250, 0.250], [0.500, 0.500, 0.500], [0.750, 0.750, 0.750]],
  "ef_ev_per_atom": -0.004,
  "final_energy_ev_per_atom": -12.0486,
  "m_tot_mub_per_fu": 2.2
}



(2)
{
  "formula": "YMnAs2Br",
  "functional": "GGA-PBEsol",
  "state": "optimized geometry",
  "cell": [[4.690, 0.000, 0.000], [0.000, 4.690, 0.000], [0.000, 0.000, 4.905]],
  "species": ["Y", "Mn", "As", "As", "Br"],
  "frac_coords": [[0.000, 0.000, 0.000], [0.500, 0.500, 0.500], [0.000, 0.500, 0.500], [0.500, 0.000, 0.500], [0.500, 0.500, 0.000]],
  "final_energy_ev_per_atom": -6.0117,
  "e_form_raw_ev_per_fu": -1.4,
  "m_tot_mub_per_fu": 3.3
}



(3)
{
  "formula": "BaS2F",
  "functional": "GGA-PBEsol",
  "state": "optimized geometry",
  "cell": [[0.000, 3.562, 3.562], [3.562, 0.000, 3.562], [3.562, 3.562, 0.000]],
  "species": ["Ba", "S", "S", "F"],
  "frac_coords": [[0.000, 0.000, 0.000], [0.250, 0.250, 0.250], [0.750, 0.750, 0.750], [0.500, 0.500, 0.500]],
  "final_energy_ev_per_atom": -3.9116,
  "e_form_raw_ev_per_fu": -2.8,
  "m_tot_mub_per_fu": 3.0
}



(4)
{
  "formula": "SrCaPb2",
  "functional": "GGA-PBEsol",
  "state": "optimized geometry",
  "cell": [[3.644, -4.664, 0.000], [3.644, 4.664, 0.000], [0.000, 0.000, 3.571]],
  "species": ["Sr", "Ca", "Pb", "Pb"],
  "frac_coords": [[0.000, 0.000, 0.000], [0.500, 0.500, 0.000], [0.000, 0.500, 0.500], [0.500, 0.000, 0.500]],
  "ef_ev_per_atom": -0.551,
  "final_energy_ev_per_atom": -3.5437,
  "m_tot_mub_per_fu": 0.0
}



(5)
{
  "formula": "SrLi2W",
  "functional": "GGA-PBEsol",
  "state": "optimized geometry",
  "cell": [[5.031, -1.368, 0.000], [5.031, 1.368, 0.000], [-0.529, 0.000, 5.754]],
  "species": ["Sr", "Li", "Li", "W"],
  "frac_coords": [[0.000, 0.000, 0.000], [0.508, 0.508, 0.525], [0.763, 0.763, 0.268], [0.253, 0.253, 0.706]],
  "ef_ev_per_atom": 0.924,
  "final_energy_ev_per_atom": -3.9716,
  "relative_energy_mev_per_atom": 32,
  "m_tot_mub_per_fu": 0.0
}



(6)
{
  "formula": "LaMgFeMo2",
  "functional": "GGA-PBEsol",
  "state": "optimized geometry",
  "cell": [[4.786, 0.000, 0.000], [0.000, 4.786, 0.000], [0.000, 0.000, 4.486]],
  "species": ["La", "Mg", "Fe", "Mo", "Mo"],
  "frac_coords": [[0.000, 0.000, 0.000], [0.500, 0.500, 0.500], [0.000, 0.000, 0.500], [0.000, 0.500, 0.000], [0.500, 0.000, 0.000]],
  "ef_ev_per_atom": 1.899,
  "final_energy_ev_per_atom": -6.0140,
  "m_tot_mub_per_fu": 3.1
}



(7)
{
  "formula": "La2ScAl",
  "functional": "GGA-PBEsol",
  "state": "optimized geometry",
  "cell": [[-2.343, 2.343, 4.805], [2.343, -2.343, 4.805], [2.343, 2.343, -4.805]],
  "species": ["La", "La", "Sc", "Al"],
  "frac_coords": [[0.250, 0.750, 0.500], [0.750, 0.250, 0.500], [0.000, 0.000, 0.000], [0.500, 0.500, 0.000]],
  "ef_ev_per_atom": -0.153,
  "final_energy_ev_per_atom": -5.5007,
  "m_tot_mub_per_fu": 0.0
}



(8)
{
  "formula": "Zr2AlCl",
  "functional": "GGA-PBEsol",
  "state": "optimized geometry",
  "cell": [[-2.069, 2.069, 9.700], [2.069, -2.069, 9.700], [2.069, 2.069, -9.700]],
  "species": ["Zr", "Zr", "Zr", "Zr", "Al", "Al", "Cl", "Cl"],
  "frac_coords": [[0.124, 0.625, 0.999], [0.375, 0.374, 0.499], [0.626, 0.125, 0.001], [0.875, 0.876, 0.501], [0.250, 0.750, 0.500], [0.500, 0.500, 0.000], [0.000, 0.000, 0.000], [0.750, 0.250, 0.500]],
  "final_energy_ev_per_atom": -5.9931,
  "e_form_raw_ev_per_fu": 0.3,
  "m_tot_mub_per_fu": 0.0
}